Here is a relaxed Ho3Er4Tl4 crystal from Alexandria via LeMat-Bulk. Energies are from PBE-GGA.

a = 3.6696 Å, b = 9.4961 Å, c = 18.3964 Å
α = 90.00°, β = 90.00°, γ = 90.00°
Last column: nearest neighbours and their distance in Å.
Space group Immm (No. 71)
One atom of each set of equivalent atoms:
Ho 0.0000 0.0000 0.0000  4 Tl 3.22
Ho 0.0000 0.5000 0.0979  6 Tl 3.12-3.32
Er 0.0000 0.3075 0.3359  4 Tl 3.13-3.20
Tl 0.0000 0.0000 0.2650  2 Ho 3.12, 6 Er 3.19-3.20
Tl 0.0000 0.2208 0.5000  2 Er 3.13, 6 Ho 3.22-3.32

Properties
For the formation enthalpy at 0 K, the calculation gives -0.21 eV/atom. For the total magnetization, the calculation gives 1.06 μB per formula unit. For the calculated volume, the calculation gives 641.1 Å³/cell.